[1]
Compound: CaAgHgBr5
Source: Alexandria
Functional: GGA-PBE
Structure: relaxed

Computed properties:
Raw total energy (eV/atom): -2.6652
Formation energy (no corrections) (kJ/mol of atoms): -94.11
SG: C2/c, No. 15

Cell lengths 7.877, 7.877, 11.068 Å; angles 110.16, 110.16, 89.93 degrees
Fractional coordinates of all 16 atoms:
Ca: 0.000 0.500 0.000
Ca: 0.500 0.000 0.500
Ag: 0.049 0.951 0.750
Ag: 0.951 0.049 0.250
Hg: 0.406 0.594 0.750
Hg: 0.594 0.406 0.250
Br: 0.106 0.664 0.833
Br: 0.185 0.815 0.250
Br: 0.293 0.311 0.519
Br: 0.311 0.293 0.019
Br: 0.336 0.894 0.667
Br: 0.664 0.106 0.333
Br: 0.689 0.707 0.981
Br: 0.707 0.689 0.481
Br: 0.815 0.185 0.750
Br: 0.894 0.336 0.167

=====

[2]
Compound: Cs2RbNaIn
Source: Alexandria
Functional: GGA-PBE
Structure: relaxed

Computed properties:
E_form (eV per atom): 0.16
Raw total energy (eV/atom): -1.1907
Distance to the lowest polymorph of the same formula (meV per atom): 66
SG: P4/mmm, No. 123

Cell lengths 7.428, 7.428, 7.308 Å; angles 90.00, 90.00, 90.00 degrees
Fractional coordinates of all 5 atoms:
Cs: 0.000 0.500 0.000
Cs: 0.500 0.000 0.000
Rb: 0.000 0.000 0.500
Na: 0.500 0.500 0.500
In: 0.000 0.000 0.000

=====

[3]
Compound: Rb3PaBr6
Source: Alexandria
Functional: GGA-PBE
Structure: relaxed

Computed properties:
Raw total energy (eV/atom): -3.8163
Formation energy (no corrections) (kJ/mol of atoms): -151.74
SG: P2_1/c, No. 14

Cell lengths 8.265, 8.794, 14.438 Å; angles 90.00, 124.48, 90.00 degrees
Fractional coordinates of all 20 atoms:
Rb: 0.000 0.000 0.000
Rb: 0.000 0.500 0.500
Rb: 0.217 0.076 0.746
Rb: 0.217 0.424 0.246
Rb: 0.783 0.576 0.754
Rb: 0.783 0.924 0.254
Pa: 0.500 0.000 0.500
Pa: 0.500 0.500 0.000
Br: 0.154 0.180 0.439
Br: 0.154 0.320 0.939
Br: 0.256 0.722 0.425
Br: 0.256 0.778 0.925
Br: 0.403 0.055 0.272
Br: 0.403 0.445 0.772
Br: 0.597 0.555 0.228
Br: 0.597 0.945 0.728
Br: 0.744 0.222 0.075
Br: 0.744 0.278 0.575
Br: 0.846 0.680 0.061
Br: 0.846 0.820 0.561

=====

[4]
Compound: ZrFeP
Source: Alexandria
Functional: GGA-PBE
Structure: relaxed

Computed properties:
E_form (eV per atom): -0.75
Raw total energy (eV/atom): -8.2205
SG: Cmcm, No. 63

Cell lengths 6.899, 6.899, 3.664 Å; angles 90.00, 90.00, 148.34 degrees
Fractional coordinates of all 6 atoms:
Zr: 0.097 0.903 0.750
Zr: 0.903 0.097 0.250
Fe: 0.254 0.746 0.250
Fe: 0.746 0.254 0.750
P: 0.352 0.648 0.750
P: 0.648 0.352 0.250

=====

[5]
Compound: SrTcOs
Source: Alexandria
Functional: GGA-PBE
Structure: relaxed

Computed properties:
E_form (eV per atom): 0.33
Raw total energy (eV/atom): -7.4325
Distance to the lowest polymorph of the same formula (meV per atom): 76
SG: P2_1/m, No. 11

Cell lengths 5.106, 4.452, 6.051 Å; angles 90.00, 103.92, 90.00 degrees
Fractional coordinates of all 6 atoms:
Sr: 0.245 0.250 0.451
Sr: 0.755 0.750 0.549
Tc: 0.376 0.750 0.948
Tc: 0.624 0.250 0.052
Os: 0.083 0.250 0.933
Os: 0.917 0.750 0.067

=====

[6]
Compound: AcPa2Pb
Source: Alexandria
Functional: GGA-PBE
Structure: relaxed

Computed properties:
E_form (eV per atom): 0.48
Raw total energy (eV/atom): -6.2246
SG: Fm-3m, No. 225

Cell lengths 5.490, 5.490, 5.490 Å; angles 60.00, 60.00, 60.00 degrees
Fractional coordinates of all 4 atoms:
Ac: 0.000 0.000 0.000
Pa: 0.250 0.250 0.250
Pa: 0.750 0.750 0.750
Pb: 0.500 0.500 0.500

=====

For the records above, the corresponding calculated volume values read 37.48, 80.64, 43.25, 15.25, 22.25, 29.26 Å³ per atom.